Entry 1:
GaFeCo2 | OQMD | PBE-GGA | relaxed; mass density = 8.9 g/cm³; V = 45.28 Å³/f.u.; total energy = -6.448 eV per atom; total magnetic moment = 1.144 μB/atom; symmetry = F-43m (216)
1.0
0.000 2.829 2.829
2.829 0.000 2.829
2.829 2.829 0.000
Ga Fe Co
1 1 2
Cartesian
0.000 0.000 0.000
4.243 4.243 4.243
1.414 1.414 1.414
2.829 2.829 2.829


Entry 2:
GdAgBiSb | OQMD | PBE-GGA | relaxed; mass density = 9.6 g/cm³; V = 103.01 Å³/f.u.; total magnetic moment = 0.000 μB/atom; symmetry = P4/nmm (129); polymorph energy (0 for the lowest one) = 37 meV per atom
1.0
4.464 0.000 0.000
0.000 4.464 0.000
0.000 0.000 10.338
Gd Ag Bi Sb
2 2 2 2
Cartesian
1.116 1.116 2.438
3.348 3.348 7.900
1.116 3.348 5.169
3.348 1.116 5.169
1.116 1.116 7.164
3.348 3.348 3.174
1.116 3.348 0.000
3.348 1.116 0.000


Entry 3:
Y2HoAl2Cd4 | OQMD | PBE-GGA | relaxed; mass density = 6.7 g/cm³; V = 210.01 Å³/f.u.; total energy = -3.573 eV per atom; total magnetic moment = 0.002 μB/atom; symmetry = Amm2 (38)
1.0
4.552 0.000 0.000
0.000 6.317 3.652
0.000 -6.317 3.652
Y Ho Al Cd
2 1 2 4
Cartesian
0.000 -3.604 3.652
0.000 3.604 3.652
0.000 0.000 2.598
2.276 -2.101 2.084
2.276 2.101 2.084
0.000 0.000 5.730
2.276 0.000 0.270
2.276 -1.587 4.816
2.276 1.587 4.816


Entry 4:
Ho3Mg3CdHg2 | OQMD | PBE-GGA | relaxed; mass density = 8.2 g/cm³; V = 220.24 Å³/f.u.; total energy = -2.557 eV per atom; total magnetic moment = 0.001 μB/atom; symmetry = P-62m (189)
1.0
7.826 0.000 0.000
-3.913 6.778 0.000
0.000 0.000 4.152
Ho Mg Cd Hg
3 3 1 2
Cartesian
-2.289 3.964 0.000
1.625 2.814 0.000
4.577 0.000 0.000
-0.991 1.716 2.076
1.981 0.000 2.076
2.922 5.062 2.076
0.000 0.000 0.000
0.000 4.518 2.076
3.913 2.259 2.076


Entry 5:
Zr2Nb4In3C3 | OQMD | PBE-GGA | relaxed; mass density = 7.7 g/cm³; V = 201.05 Å³/f.u.; total energy = -8.301 eV per atom; total magnetic moment = 0.000 μB/atom; symmetry = C2/c (15)
1.0
4.861 -2.809 0.000
4.861 2.809 0.000
-3.267 0.000 14.726
Zr Nb In C
4 8 6 6
Cartesian
2.437 2.350 8.689
2.386 2.350 13.400
4.070 -2.350 1.326
4.019 -2.350 6.037
2.409 0.456 1.176
2.420 0.493 6.187
0.775 -0.456 8.539
0.786 -0.493 13.550
5.669 0.493 1.176
5.680 0.456 6.187
4.036 -0.493 8.539
4.047 -0.456 13.550
-0.718 0.534 11.064
0.915 -0.534 3.701
2.411 0.344 11.045
4.044 -0.344 3.682
5.540 0.534 11.026
7.173 -0.534 3.662
0.797 1.404 7.363
4.035 1.380 0.000
4.053 1.380 7.363
2.431 -1.404 0.000
2.402 -1.380 7.363
5.687 -1.380 0.000


Entry 6:
DySb | OQMD | PBE-GGA | relaxed; mass density = 7.9 g/cm³; V = 59.38 Å³/f.u.; total energy = -5.495 eV per atom; total magnetic moment = 0.000 μB/atom; symmetry = Fm-3m (225)
1.0
0.000 3.096 3.096
3.096 0.000 3.096
3.096 3.096 0.000
Dy Sb
1 1
Cartesian
0.000 0.000 0.000
3.096 3.096 3.096


Entry 7:
Ho3Se4O12F | OQMD | PBE-GGA | relaxed; mass density = 5.6 g/cm³; V = 303.86 Å³/f.u.; total energy = -6.483 eV per atom; total magnetic moment = 0.000 μB/atom; symmetry = P6_3mc (186)
1.0
10.230 0.000 0.000
-5.115 8.859 0.000
0.000 0.000 6.705
Ho Se O F
6 8 24 2
Cartesian
-1.977 4.765 0.000
1.977 4.765 0.000
0.000 8.189 0.000
5.115 0.670 3.353
3.138 4.095 3.353
7.092 4.095 3.353
0.000 2.673 1.554
-2.800 7.523 1.554
2.315 1.337 4.907
0.000 5.906 3.726
5.115 2.953 0.373
2.800 7.523 1.554
7.915 1.337 4.907
5.115 6.186 4.907
-1.307 3.669 2.036
-2.591 5.892 2.036
-1.328 5.140 4.524
0.000 3.162 6.611
-2.377 7.279 6.611
1.307 3.669 2.036
-1.283 8.157 2.036
2.738 1.581 3.259
3.832 0.702 5.388
2.524 2.967 5.388
1.328 5.140 4.524
0.000 7.439 4.524
5.115 1.420 1.171
3.787 3.720 1.171
2.591 5.892 2.036
1.283 8.157 2.036
2.377 7.279 6.611
6.398 0.702 5.388
3.808 5.190 5.388
7.492 1.581 3.259
5.115 5.698 3.259
6.443 3.720 1.171
7.706 2.967 5.388
6.422 5.190 5.388
0.000 5.906 0.339
5.115 2.953 3.692


Entry 8:
NbNi2Ir | OQMD | PBE-GGA | relaxed; mass density = 12.1 g/cm³; V = 55.19 Å³/f.u.; total magnetic moment = 0.000 μB/atom; symmetry = F-43m (216); energy relative to the elements = -186 meV/atom
1.0
0.000 3.022 3.022
3.022 0.000 3.022
3.022 3.022 0.000
Nb Ni Ir
1 2 1
Cartesian
0.000 0.000 0.000
3.022 3.022 3.022
4.533 4.533 4.533
1.511 1.511 1.511


Entry 9:
ZnAgSeO | OQMD | PBE-GGA | relaxed; mass density = 6.7 g/cm³; V = 66.27 Å³/f.u.; symmetry = Pca2_1 (29); polymorph energy (0 for the lowest one) = 0 meV per atom
1.0
6.145 0.000 0.000
0.000 7.713 0.000
0.000 0.000 5.593
Zn Ag Se O
4 4 4 4
Cartesian
0.709 0.440 0.000
2.364 0.440 2.796
3.781 7.273 0.000
5.436 7.273 2.796
0.994 5.258 1.033
2.079 5.258 3.830
4.066 2.455 1.033
5.151 2.455 3.830
1.463 2.836 2.670
1.610 2.836 5.466
4.535 4.877 2.670
4.683 4.877 5.466
0.930 7.270 3.854
2.143 7.270 1.058
4.002 0.443 3.854
5.216 0.443 1.058


Entry 10:
BeFeMoAs | OQMD | PBE-GGA | relaxed; mass density = 7.8 g/cm³; V = 50.23 Å³/f.u.; total magnetic moment = 0.609 μB/atom; symmetry = F-43m (216); polymorph energy (0 for the lowest one) = 231 meV per atom
1.0
0.000 2.928 2.928
2.928 0.000 2.928
2.928 2.928 0.000
Be Fe Mo As
1 1 1 1
Cartesian
0.000 0.000 0.000
2.928 2.928 2.928
4.393 4.393 4.393
1.464 1.464 1.464


Entry 11:
LiReGeMo | OQMD | PBE-GGA | relaxed; mass density = 10.6 g/cm³; V = 56.47 Å³/f.u.; total magnetic moment = 0.000 μB/atom; symmetry = F-43m (216); polymorph energy (0 for the lowest one) = 0 meV per atom
1.0
0.000 3.045 3.045
3.045 0.000 3.045
3.045 3.045 0.000
Li Re Ge Mo
1 1 1 1
Cartesian
0.000 0.000 0.000
3.045 3.045 3.045
1.523 1.523 1.523
4.568 4.568 4.568


Entry 12:
RbErTeO | OQMD | PBE-GGA | relaxed; mass density = 6.6 g/cm³; V = 100.29 Å³/f.u.; total magnetic moment = 0.003 μB/atom; symmetry = R3m (160); polymorph energy (0 for the lowest one) = 347 meV per atom
1.0
1.934 1.117 7.740
-1.934 1.117 7.740
0.000 -2.233 7.740
Rb Er Te O
1 1 1 1
Cartesian
0.000 0.000 0.000
0.000 0.000 12.350
0.000 0.000 18.107
0.000 0.000 5.521